Entry 1:
Tl2SnMoP | the Alexandria database | PBE | optimized geometry; energy of formation = 1409 meV/atom; magnetic moment = 2.8 μB per formula unit; density = 6.27 g cm⁻³; space-group type = No. 123; E_tot = -3.586 eV/atom
1.0
5.680 0.000 0.000
0.000 5.680 0.000
0.000 0.000 5.371
Tl Sn Mo P
2 1 1 1
direct
0.000 0.500 0.000
0.500 0.000 0.000
0.000 0.000 0.000
0.000 0.000 0.500
0.500 0.500 0.500


Entry 2:
Sr2MoP | the Alexandria database | PBE | optimized geometry; energy of formation = 469 meV/atom; magnetic moment = 5.1 μB per formula unit; density = 3.51 g cm⁻³; space-group type = No. 166; E_tot = -4.432 eV/atom
1.0
2.220 1.282 8.367
-2.220 1.282 8.367
0.000 -2.563 8.367
Sr Mo P
2 1 1
direct
0.229 0.229 0.229
0.771 0.771 0.771
0.000 0.000 0.000
0.500 0.500 0.500


Entry 3:
SrMoP2 | the Alexandria database | PBE | optimized geometry; energy of formation = -460 meV/atom; magnetic moment = 0.0 μB per formula unit; density = 5.08 g cm⁻³; space-group type = No. 44; E_tot = -6.294 eV/atom
1.0
-1.641 1.762 6.945
1.641 -1.762 6.945
1.641 1.762 -6.945
Sr Mo P
1 1 2
direct
0.000 0.000 0.000
0.752 0.252 0.500
0.319 0.819 0.500
0.626 0.626 0.000


Entry 4:
Sr2MoP | the Alexandria database | PBE | optimized geometry; energy of formation = 1 meV/atom; magnetic moment = 0.6 μB per formula unit; density = 4.61 g cm⁻³; space-group type = No. 8; E_tot = -4.900 eV/atom
1.0
6.088 -1.841 0.000
6.088 1.841 0.000
-2.370 0.000 4.851
Sr Mo P
2 1 1
direct
0.000 0.000 0.000
0.193 0.193 0.691
0.823 0.823 0.321
0.453 0.453 0.455


Entry 5:
SrMoP2 | the Alexandria database | PBE | optimized geometry; energy of formation = -352 meV/atom; magnetic moment = 0.0 μB per formula unit; density = 3.66 g cm⁻³; space-group type = No. 122; E_tot = -6.185 eV/atom
1.0
-3.028 3.028 6.074
3.028 -3.028 6.074
3.028 3.028 -6.074
Sr Mo P
2 2 4
direct
0.000 0.000 0.000
0.750 0.250 0.500
0.250 0.750 0.500
0.500 0.500 0.000
0.235 0.625 0.110
0.375 0.485 0.610
0.515 0.125 0.890
0.875 0.765 0.390


Entry 6:
Sr2MoP | the Alexandria database | PBE | optimized geometry; energy of formation = 531 meV/atom; magnetic moment = 3.2 μB per formula unit; density = 4.86 g cm⁻³; space-group type = No. 139; E_tot = -4.370 eV/atom
1.0
-2.406 2.406 4.462
2.406 -2.406 4.462
2.406 2.406 -4.462
Sr Mo P
2 1 1
direct
0.250 0.750 0.500
0.750 0.250 0.500
0.000 0.000 0.000
0.500 0.500 0.000


Entry 7:
SrMoP2 | the Alexandria database | PBE | optimized geometry; energy of formation = -117 meV/atom; magnetic moment = 0.2 μB per formula unit; density = 5.03 g cm⁻³; space-group type = No. 99; E_tot = -5.951 eV/atom
1.0
3.380 0.000 0.000
0.000 3.380 0.000
0.000 0.000 7.087
Sr Mo P
1 1 2
direct
0.000 0.000 0.000
0.500 0.500 0.391
0.000 0.000 0.466
0.500 0.500 0.732


Entry 8:
SrMoP2 | the Alexandria database | PBE | optimized geometry; energy of formation = -381 meV/atom; magnetic moment = 0.0 μB per formula unit; density = 4.42 g cm⁻³; space-group type = No. 38; E_tot = -6.214 eV/atom
1.0
4.586 0.000 0.000
0.000 1.817 5.537
0.000 -1.817 5.537
Sr Mo P
1 1 2
direct
0.000 0.000 0.000
0.500 0.753 0.753
0.000 0.719 0.719
0.500 0.394 0.394


Entry 9:
Sr3MoP | the Alexandria database | PBE | optimized geometry; energy of formation = 310 meV/atom; magnetic moment = 4.9 μB per formula unit; density = 3.23 g cm⁻³; space-group type = No. 221; E_tot = -3.948 eV/atom
1.0
5.852 0.000 0.000
0.000 5.852 0.000
0.000 0.000 5.852
Sr Mo P
3 1 1
direct
0.000 0.000 0.500
0.000 0.500 0.000
0.500 0.000 0.000
0.500 0.500 0.500
0.000 0.000 0.000


Entry 10:
Sr2MoP | the Alexandria database | PBE | optimized geometry; energy of formation = 110 meV/atom; magnetic moment = 1.8 μB per formula unit; density = 3.45 g cm⁻³; space-group type = No. 122; E_tot = -4.791 eV/atom
1.0
-5.599 5.599 2.317
5.599 -5.599 2.317
5.599 5.599 -2.317
Sr Mo P
4 2 2
direct
0.375 0.207 0.332
0.793 0.125 0.168
0.875 0.043 0.668
0.957 0.625 0.832
0.250 0.750 0.500
0.500 0.500 0.000
0.000 0.000 0.000
0.750 0.250 0.500


Entry 11:
SrMoP2 | the Alexandria database | PBE | optimized geometry; energy of formation = -671 meV/atom; magnetic moment = 0.0 μB per formula unit; density = 5.14 g cm⁻³; space-group type = No. 187; E_tot = -6.504 eV/atom
1.0
3.627 0.000 0.000
-1.813 3.141 0.000
0.000 0.000 6.959
Sr Mo P
1 1 2
direct
0.000 0.000 0.000
0.333 0.667 0.500
0.667 0.333 0.304
0.667 0.333 0.696


Entry 12:
Sr2MoP | the Alexandria database | PBE | optimized geometry; energy of formation = -211 meV/atom; magnetic moment = 0.0 μB per formula unit; density = 3.97 g cm⁻³; space-group type = No. 160; E_tot = -5.113 eV/atom
1.0
2.076 1.198 8.463
-2.076 1.198 8.463
0.000 -2.397 8.463
Sr Mo P
2 1 1
direct
0.000 0.000 0.000
0.177 0.177 0.177
0.422 0.422 0.422
0.755 0.755 0.755


Entry 13:
Sr2MoP | the Alexandria database | PBE | optimized geometry; energy of formation = 617 meV/atom; magnetic moment = 2.8 μB per formula unit; density = 5.32 g cm⁻³; space-group type = No. 216; E_tot = -4.284 eV/atom
1.0
0.000 3.614 3.614
3.614 0.000 3.614
3.614 3.614 0.000
Sr Mo P
2 1 1
direct
0.000 0.000 0.000
0.250 0.250 0.250
0.500 0.500 0.500
0.750 0.750 0.750


Entry 14:
SrMoP2 | the Alexandria database | PBE | optimized geometry; energy of formation = 341 meV/atom; magnetic moment = 2.4 μB per formula unit; density = 5.07 g cm⁻³; space-group type = No. 119; E_tot = -5.492 eV/atom
1.0
-1.992 1.992 5.067
1.992 -1.992 5.067
1.992 1.992 -5.067
Sr Mo P
1 1 2
direct
0.000 0.000 0.000
0.250 0.750 0.500
0.500 0.500 0.000
0.750 0.250 0.500


Entry 15:
Sr2MoP | the Alexandria database | PBE | optimized geometry; energy of formation = 367 meV/atom; magnetic moment = 3.5 μB per formula unit; density = 4.76 g cm⁻³; space-group type = No. 123; E_tot = -4.534 eV/atom
1.0
4.011 0.000 0.000
0.000 4.011 0.000
0.000 0.000 6.551
Sr Mo P
2 1 1
direct
0.000 0.000 0.229
0.000 0.000 0.771
0.500 0.500 0.500
0.500 0.500 0.000


Entry 16:
SrMoP2 | the Alexandria database | PBE | optimized geometry; energy of formation = 189 meV/atom; magnetic moment = 0.0 μB per formula unit; density = 5.38 g cm⁻³; space-group type = No. 12; E_tot = -5.645 eV/atom
1.0
3.257 -3.633 0.000
3.257 3.633 0.000
-0.891 0.000 3.203
Sr Mo P
1 1 2
direct
0.000 0.000 0.000
0.500 0.500 0.000
0.000 0.500 0.500
0.500 0.000 0.500


Entry 17:
Sr2MoP | the Alexandria database | PBE | optimized geometry; energy of formation = 426 meV/atom; magnetic moment = 0.0 μB per formula unit; density = 5.09 g cm⁻³; space-group type = No. 123; E_tot = -4.475 eV/atom
1.0
3.242 0.000 0.000
0.000 3.242 0.000
0.000 0.000 9.373
Sr Mo P
2 1 1
direct
0.000 0.000 0.226
0.000 0.000 0.774
0.500 0.500 0.500
0.500 0.500 0.000


Entry 18:
SrMoP2 | the Alexandria database | PBE | optimized geometry; energy of formation = -490 meV/atom; magnetic moment = 0.0 μB per formula unit; density = 5.68 g cm⁻³; space-group type = No. 123; E_tot = -6.323 eV/atom
1.0
3.174 0.000 0.000
0.000 3.174 0.000
0.000 0.000 7.120
Sr Mo P
1 1 2
direct
0.000 0.000 0.000
0.000 0.000 0.500
0.500 0.500 0.309
0.500 0.500 0.691


Entry 19:
SrMo3P | the Alexandria database | PBE | optimized geometry; energy of formation = 3253 meV/atom; magnetic moment = 0.0 μB per formula unit; density = 6.12 g cm⁻³; space-group type = No. 221; E_tot = -4.664 eV/atom
1.0
4.795 0.000 0.000
0.000 4.795 0.000
0.000 0.000 4.795
Sr Mo P
1 3 1
direct
0.000 0.000 0.000
0.000 0.000 0.500
0.000 0.500 0.000
0.500 0.000 0.000
0.500 0.500 0.500


Entry 20:
SrMo2P2 | the Alexandria database | PBE | optimized geometry; energy of formation = -336 meV/atom; magnetic moment = 0.0 μB per formula unit; density = 5.86 g cm⁻³; space-group type = No. 139; E_tot = -7.168 eV/atom
1.0
-2.370 2.370 4.309
2.370 -2.370 4.309
2.370 2.370 -4.309
Sr Mo P
1 2 2
direct
0.000 0.000 0.000
0.371 0.371 0.000
0.629 0.629 0.000
0.250 0.750 0.500
0.750 0.250 0.500